Arrangement P

This record from the Alexandria database describes an optimized crystal structure of TlAu2Cl. The functional is PBE-GGA.

## Properties
Mass density: 11.3 g/cm³
Size of the total moment: 0.00 μB/f.u.
Symmetry: Cmmm (65)

Cell lengths 3.5660, 3.5660, 8.1353 Å; angles 90.00, 90.00, 116.14 degrees
Positions (direct):
Tl1 0.0000 0.0000 0.0000
Au1 0.5000 0.5000 0.2550
Au2 0.5000 0.5000 0.7450
Cl1 0.0000 0.0000 0.5000



Arrangement Q

This record from the Alexandria database describes an optimized crystal structure of TlAu2Cl. The functional is PBE-GGA.

## Properties
Mass density: 9.8 g/cm³
Size of the total moment: 0.00 μB/f.u.
Symmetry: Pm (6)

Cell lengths 3.9590, 3.6513, 7.4446 Å; angles 90.00, 95.05, 90.00 degrees
Positions (direct):
Tl1 0.0000 0.0000 0.0000
Au1 0.0647 0.5000 0.6285
Au2 0.5546 0.0000 0.5758
Cl1 0.5351 0.5000 0.1951



Arrangement R

This record from the Alexandria database describes an optimized crystal structure of TlAu2Cl. The functional is PBE-GGA.

## Properties
Mass density: 10.9 g/cm³
Size of the total moment: 0.00 μB/f.u.
Symmetry: Immm (71)

Cell lengths 6.8580, 6.8580, 6.8580 Å; angles 151.91, 140.36, 49.29 degrees
Positions (direct):
Tl1 0.0000 0.0000 0.0000
Au1 0.2471 0.7471 0.5000
Au2 0.7529 0.2529 0.5000
Cl1 0.5000 0.5000 0.0000



Arrangement S

This record from the Alexandria database describes an optimized crystal structure of TlAu2Cl. The functional is PBE-GGA.

## Properties
Mass density: 10.6 g/cm³
Size of the total moment: 0.00 μB/f.u.
Symmetry: Imm2 (44)

Cell lengths 5.5689, 5.5689, 5.5689 Å; angles 139.67, 113.52, 80.71 degrees
Positions (direct):
Tl1 0.0000 0.0000 0.0000
Au1 0.2627 0.7627 0.5000
Au2 0.4876 0.4876 0.0000
Cl1 0.7018 0.2018 0.5000



Stability, lowest: arrangement P



Arrangement P

This record from the Alexandria database describes an optimized crystal structure of TlAu2Cl. The functional is PBE-GGA.

## Properties
Mass density: 10.3 g/cm³
Size of the total moment: 0.00 μB/f.u.
Symmetry: P4/mmm (123)

Cell lengths 4.0119, 4.0119, 6.3584 Å; angles 90.00, 90.00, 90.00 degrees
Positions (direct):
Tl1 0.0000 0.0000 0.0000
Au1 0.0000 0.5000 0.5000
Au2 0.5000 0.0000 0.5000
Cl1 0.5000 0.5000 0.0000



Arrangement Q

This record from the Alexandria database describes an optimized crystal structure of TlAu2Cl. The functional is PBE-GGA.

## Properties
Mass density: 12.1 g/cm³
Size of the total moment: 0.00 μB/f.u.
Symmetry: P4/mmm (123)

Cell lengths 3.3879, 3.3879, 7.5803 Å; angles 90.00, 90.00, 90.00 degrees
Positions (direct):
Tl1 0.0000 0.0000 0.0000
Au1 0.5000 0.5000 0.2506
Au2 0.5000 0.5000 0.7494
Cl1 0.0000 0.0000 0.5000



Stability, lowest: arrangement Q



Arrangement P

This record from the Alexandria database describes an optimized crystal structure of TlAu3Cl. The functional is PBE-GGA.

## Properties
Mass density: 10.4 g/cm³
Size of the total moment: 0.00 μB/f.u.
Symmetry: Pm-3m (221)

Cell lengths 5.0993, 5.0993, 5.0993 Å; angles 90.00, 90.00, 90.00 degrees
Positions (direct):
Tl1 0.0000 0.0000 0.0000
Au1 0.0000 0.5000 0.5000
Au2 0.5000 0.0000 0.5000
Au3 0.5000 0.5000 0.0000
Cl1 0.5000 0.5000 0.5000



Arrangement Q

This record from the Alexandria database describes an optimized crystal structure of TlAu3Cl. The functional is PBE-GGA.

## Properties
Mass density: 9.1 g/cm³
Size of the total moment: 0.00 μB/f.u.
Symmetry: Pm-3m (221)

Cell lengths 5.3378, 5.3378, 5.3378 Å; angles 90.00, 90.00, 90.00 degrees
Positions (direct):
Tl1 0.0000 0.0000 0.0000
Au1 0.0000 0.0000 0.5000
Au2 0.0000 0.5000 0.0000
Au3 0.5000 0.0000 0.0000
Cl1 0.5000 0.5000 0.5000



Stability, lowest: arrangement Q



Arrangement P

This record from the Alexandria database describes an optimized crystal structure of Tl2Au2Cl. The functional is PBE-GGA.

## Properties
Mass density: 10.3 g/cm³
Size of the total moment: 0.00 μB/f.u.
Symmetry: I4/mmm (139)

Cell lengths 9.2207, 9.2207, 9.2207 Å; angles 155.44, 155.44, 35.00 degrees
Positions (direct):
Tl1 0.1037 0.1037 0.0000
Tl2 0.8963 0.8963 0.0000
Au1 0.2500 0.7500 0.5000
Au2 0.7500 0.2500 0.5000
Cl1 0.5000 0.5000 0.0000



Arrangement Q

This record from the Alexandria database describes an optimized crystal structure of Tl2Au2Cl. The functional is PBE-GGA.

## Properties
Mass density: 10.8 g/cm³
Size of the total moment: 0.00 μB/f.u.
Symmetry: P4/mbm (127)

Cell lengths 8.3501, 8.3501, 3.7048 Å; angles 90.00, 90.00, 90.00 degrees
Positions (direct):
Tl1 0.1928 0.3072 0.0000
Tl2 0.3072 0.8072 0.0000
Tl3 0.6928 0.1928 0.0000
Tl4 0.8072 0.6928 0.0000
Au1 0.1142 0.6142 0.5000
Au2 0.3858 0.1142 0.5000
Au3 0.6142 0.8858 0.5000
Au4 0.8858 0.3858 0.5000
Cl1 0.0000 0.0000 0.0000
Cl2 0.5000 0.5000 0.0000



Stability, lowest: arrangement Q



Arrangement P

This record from the Alexandria database describes an optimized crystal structure of Tl3AuCl6. The functional is PBE-GGA.

## Properties
Mass density: 5.1 g/cm³
Size of the total moment: 1.68 μB/f.u.
Symmetry: R-3 (148)

Cell lengths 8.7595, 8.7595, 8.7595 Å; angles 93.25, 93.25, 93.25 degrees
Positions (direct):
Tl1 0.0760 0.7576 0.5710
Tl2 0.2424 0.4290 0.9240
Tl3 0.4290 0.9240 0.2424
Tl4 0.5710 0.0760 0.7576
Tl5 0.7576 0.5710 0.0760
Tl6 0.9240 0.2424 0.4290
Au1 0.0000 0.0000 0.0000
Au2 0.5000 0.5000 0.5000
Cl1 0.0500 0.7227 0.9218
Cl2 0.0782 0.9500 0.2773
Cl3 0.2219 0.4253 0.5494
Cl4 0.2773 0.0782 0.9500
Cl5 0.4253 0.5494 0.2219
Cl6 0.4506 0.7781 0.5747
Cl7 0.5494 0.2219 0.4253
Cl8 0.5747 0.4506 0.7781
Cl9 0.7227 0.9218 0.0500
Cl10 0.7781 0.5747 0.4506
Cl11 0.9218 0.0500 0.7227
Cl12 0.9500 0.2773 0.0782



Arrangement Q

This record from the Alexandria database describes an optimized crystal structure of Tl3AuCl6. The functional is PBE-GGA.

## Properties
Mass density: 5.0 g/cm³
Size of the total moment: 0.00 μB/f.u.
Symmetry: P2_1/c (14)

Cell lengths 4.9531, 8.0750, 17.3348 Å; angles 90.00, 102.70, 90.00 degrees
Positions (direct):
Tl1 0.0000 0.0000 0.0000
Tl2 0.0000 0.5000 0.5000
Tl3 0.1943 0.1703 0.7268
Tl4 0.1943 0.3297 0.2268
Tl5 0.8057 0.6703 0.7732
Tl6 0.8057 0.8297 0.2732
Au1 0.5000 0.0000 0.5000
Au2 0.5000 0.5000 0.0000
Cl1 0.1467 0.1352 0.4112
Cl2 0.1467 0.3648 0.9112
Cl3 0.2452 0.5412 0.6844
Cl4 0.2452 0.9588 0.1844
Cl5 0.4240 0.7412 0.9248
Cl6 0.4240 0.7588 0.4248
Cl7 0.5760 0.2412 0.5752
Cl8 0.5760 0.2588 0.0752
Cl9 0.7548 0.0412 0.8156
Cl10 0.7548 0.4588 0.3156
Cl11 0.8533 0.6352 0.0888
Cl12 0.8533 0.8648 0.5888



Stability, lowest: arrangement P



Arrangement P

This record from the Alexandria database describes an optimized crystal structure of TlAu2Cl6. The functional is PBE-GGA.

## Properties
Mass density: 4.7 g/cm³
Size of the total moment: 0.00 μB/f.u.
Symmetry: C2/c (15)

Cell lengths 8.6878, 8.6878, 7.7528 Å; angles 98.46, 98.46, 86.87 degrees
Positions (direct):
Tl1 0.0971 0.9029 0.7500
Tl2 0.9029 0.0971 0.2500
Au1 0.2340 0.3223 0.8051
Au2 0.3223 0.2340 0.3051
Au3 0.6777 0.7660 0.6949
Au4 0.7660 0.6777 0.1949
Cl1 0.0161 0.1924 0.6321
Cl2 0.0651 0.6380 0.8135
Cl3 0.1924 0.0161 0.1321
Cl4 0.3620 0.9349 0.6865
Cl5 0.3894 0.3975 0.5646
Cl6 0.3975 0.3894 0.0646
Cl7 0.6025 0.6106 0.9354
Cl8 0.6106 0.6025 0.4354
Cl9 0.6380 0.0651 0.3135
Cl10 0.8076 0.9839 0.8679
Cl11 0.9349 0.3620 0.1865
Cl12 0.9839 0.8076 0.3679



Arrangement Q

This record from the Alexandria database describes an optimized crystal structure of TlAu2Cl6. The functional is PBE-GGA.

## Properties
Mass density: 5.0 g/cm³
Size of the total moment: 0.00 μB/f.u.
Symmetry: C2/c (15)

Cell lengths 8.7300, 8.7300, 7.3231 Å; angles 97.93, 97.93, 101.26 degrees
Positions (direct):
Tl1 0.0986 0.9014 0.7500
Tl2 0.9014 0.0986 0.2500
Au1 0.3665 0.3798 0.7117
Au2 0.3798 0.3665 0.2117
Au3 0.6202 0.6335 0.7883
Au4 0.6335 0.6202 0.2883
Cl1 0.0807 0.6504 0.8721
Cl2 0.0847 0.1876 0.6574
Cl3 0.1876 0.0847 0.1574
Cl4 0.2733 0.4920 0.4551
Cl5 0.3496 0.9193 0.6279
Cl6 0.4920 0.2733 0.9551
Cl7 0.5080 0.7267 0.0449
Cl8 0.6504 0.0807 0.3721
Cl9 0.7267 0.5080 0.5449
Cl10 0.8124 0.9153 0.8426
Cl11 0.9153 0.8124 0.3426
Cl12 0.9193 0.3496 0.1279



Stability, lowest: arrangement P



Arrangement P

This record from the Alexandria database describes an optimized crystal structure of TlAuCl6. The functional is PBE-GGA.

## Properties
Mass density: 3.3 g/cm³
Size of the total moment: 0.00 μB/f.u.
Symmetry: C2/m (12)

Cell lengths 6.4223, 6.4223, 8.5984 Å; angles 110.72, 110.72, 92.15 degrees
Positions (direct):
Tl1 0.0000 0.0000 0.0000
Au1 0.5000 0.5000 0.5000
Cl1 0.1470 0.5057 0.2987
Cl2 0.3835 0.3835 0.8871
Cl3 0.4943 0.8530 0.7013
Cl4 0.5057 0.1470 0.2987
Cl5 0.6165 0.6165 0.1129
Cl6 0.8530 0.4943 0.7013



Arrangement Q

This record from the Alexandria database describes an optimized crystal structure of TlAuCl6. The functional is PBE-GGA.

## Properties
Mass density: 3.9 g/cm³
Size of the total moment: 0.00 μB/f.u.
Symmetry: P-1 (2)

Cell lengths 5.9142, 7.0616, 7.2477 Å; angles 64.40, 75.54, 84.83 degrees
Positions (direct):
Tl1 0.0000 0.0000 0.0000
Au1 0.5000 0.5000 0.0000
Cl1 0.0709 0.8129 0.3391
Cl2 0.2776 0.3904 0.8393
Cl3 0.4114 0.8436 0.7978
Cl4 0.5886 0.1564 0.2022
Cl5 0.7224 0.6096 0.1607
Cl6 0.9291 0.1871 0.6609



Stability, lowest: arrangement P



Arrangement P

This record from the Alexandria database describes an optimized crystal structure of UAu2Cl8. The functional is PBE-GGA.

## Properties
Mass density: 4.0 g/cm³
Size of the total moment: 0.06 μB/f.u.
Symmetry: C2/m (12)

Cell lengths 7.8052, 7.8052, 7.2049 Å; angles 90.56, 90.56, 60.42 degrees
Positions (direct):
U1 0.0000 0.0000 0.0000
Au1 0.2175 0.2175 0.7511
Au2 0.7825 0.7825 0.2489
Cl1 0.1060 0.1060 0.2814
Cl2 0.1279 0.6582 0.1399
Cl3 0.3418 0.8721 0.8601
Cl4 0.3675 0.3675 0.6091
Cl5 0.6325 0.6325 0.3909
Cl6 0.6582 0.1279 0.1399
Cl7 0.8721 0.3418 0.8601
Cl8 0.8940 0.8940 0.7186



Arrangement Q

This record from the Alexandria database describes an optimized crystal structure of UAu2Cl8. The functional is PBE-GGA.

## Properties
Mass density: 4.0 g/cm³
Size of the total moment: 0.06 μB/f.u.
Symmetry: C2/m (12)

Cell lengths 8.7166, 8.7166, 7.3333 Å; angles 112.47, 112.47, 49.11 degrees
Positions (direct):
U1 0.0000 0.0000 0.0000
Au1 0.2340 0.2340 0.0404
Au2 0.7660 0.7660 0.9596
Cl1 0.0898 0.0898 0.7698
Cl2 0.1425 0.6612 0.7735
Cl3 0.3388 0.8575 0.2265
Cl4 0.3779 0.3779 0.2918
Cl5 0.6221 0.6221 0.7082
Cl6 0.6612 0.1425 0.7735
Cl7 0.8575 0.3388 0.2265
Cl8 0.9102 0.9102 0.2302



Stability, lowest: arrangement P